1.
The following is a PBE-GGA calculation of BaLi2Ga after structural relaxation, from Alexandria via LeMat-Bulk.

Output
The value obtained for the density of states at the Fermi level is 9.3 states/eV/cell. The uncorrected energy is -28.4 eV for the cell shown. As for the formation energy: -0.1758 eV/atom. As for the mass density: 3.3 Mg/m³.

a = 4.6884 Å, b = 4.6884 Å, c = 17.3347 Å
α = 90.00°, β = 90.00°, γ = 120.00°
Space group R-3m (No. 166, hexagonal axes)
One atom of each set of equivalent atoms:
Ba (0.0000, 0.0000, 0.0000) (multiplicity 3)
Li (0.0000, 0.0000, 0.1934) (multiplicity 6)
Ga (0.0000, 0.0000, 0.5000) (multiplicity 3)

=====

2.
The following is a PBE-GGA calculation of BaLiGa after structural relaxation, from Alexandria via LeMat-Bulk.

Output
The value obtained for the density of states at the Fermi level is 2.8 states/eV/cell. The uncorrected energy is -7.4 eV for the cell shown. As for the formation energy: -0.1854 eV/atom. As for the mass density: 3.9 Mg/m³. The value obtained for the energy above the most stable polymorph in this dataset is 114 meV/atom.

a = 5.0956 Å, b = 5.0956 Å, c = 4.0435 Å
α = 90.00°, β = 90.00°, γ = 120.00°
Space group P-6m2 (No. 187)
One atom of each set of equivalent atoms:
Ba (0.0000, 0.0000, 0.0000) (multiplicity 1)
Li (0.3333, 0.6667, 0.5000) (multiplicity 1)
Ga (0.6667, 0.3333, 0.5000) (multiplicity 1)

=====

3.
The following is a PBE-GGA calculation of BaLiGa2 after structural relaxation, from Alexandria via LeMat-Bulk.

Output
The value obtained for the density of states at the Fermi level is 2.4 states/eV/cell. The uncorrected energy is -10.9 eV for the cell shown. As for the formation energy: -0.2573 eV/atom. As for the mass density: 4.8 Mg/m³. The value obtained for the energy above the most stable polymorph in this dataset is 95 meV/atom.

a = 3.629 Å, b = 3.629 Å, c = 7.500 Å
α = 90.00°, β = 90.00°, γ = 90.00°
Space group P4/mmm (No. 123)
One atom of each set of equivalent atoms:
Ba (0.000, 0.000, 0.000) (multiplicity 1)
Li (0.000, 0.000, 0.500) (multiplicity 1)
Ga (0.500, 0.500, 0.324) (multiplicity 2)

=====

4.
The following is a PBE-GGA calculation of BaLi3Ga after structural relaxation, from Alexandria via LeMat-Bulk.

Output
The value obtained for the density of states at the Fermi level is 26.3 states/eV/cell. The uncorrected energy is -90.1 eV for the cell shown. As for the formation energy: -0.1136 eV/atom. As for the mass density: 2.9 Mg/m³. The value obtained for the energy above the most stable polymorph in this dataset is 23 meV/atom.

a = 13.872 Å, b = 10.626 Å, c = 7.348 Å
α = 90.00°, β = 103.77°, γ = 90.00°
Space group C2/c (No. 15)
One atom of each set of equivalent atoms:
Ba (0.000, 0.040, 0.250) (multiplicity 4)
Ba (0.000, 0.356, 0.750) (multiplicity 4)
Li (0.196, 0.178, 0.110) (multiplicity 8)
Li (0.200, 0.492, 0.104) (multiplicity 8)
Li (0.204, 0.167, 0.592) (multiplicity 8)
Ga (0.096, 0.335, 0.321) (multiplicity 8)

=====

5.
The following is a PBE-GGA calculation of BaLiGa after structural relaxation, from Alexandria via LeMat-Bulk.

Output
The value obtained for the density of states at the Fermi level is 7.8 states/eV/cell. The uncorrected energy is -29.7 eV for the cell shown. As for the formation energy: -0.1870 eV/atom. As for the mass density: 3.9 Mg/m³. The value obtained for the energy above the most stable polymorph in this dataset is 113 meV/atom.

a = 7.634 Å, b = 4.411 Å, c = 10.905 Å
α = 90.00°, β = 90.21°, γ = 90.00°
Space group C2/m (No. 12)
One atom of each set of equivalent atoms:
Ba (0.168, 0.000, 0.316) (multiplicity 4)
Li (0.001, 0.500, 0.109) (multiplicity 4)
Ga (0.166, 0.000, 0.952) (multiplicity 4)

=====

6.
The following is a PBE-GGA calculation of BaLiGa2 after structural relaxation, from Alexandria via LeMat-Bulk.

Output
The value obtained for the density of states at the Fermi level is 10.6 states/eV/cell. The uncorrected energy is -33.9 eV for the cell shown. As for the formation energy: -0.3525 eV/atom. As for the mass density: 4.4 Mg/m³. The value obtained for the energy above the most stable polymorph in this dataset is 0 meV/atom.

a = 4.4932 Å, b = 4.4932 Å, c = 18.2174 Å
α = 90.00°, β = 90.00°, γ = 120.00°
Space group R-3m (No. 166, hexagonal axes)
One atom of each set of equivalent atoms:
Ba (0.0000, 0.0000, 0.0000) (multiplicity 3)
Li (0.0000, 0.0000, 0.5000) (multiplicity 3)
Ga (0.0000, 0.0000, 0.1967) (multiplicity 6)